(1)
Material: Pr12Ge3N5
Method: DFT, PBE
State: relaxed

Cell and atoms, written as CIF:
```
data_Pr12Ge3N5
_cell_length_a 13.902
_cell_length_b 13.902
_cell_length_c 13.902
_cell_angle_alpha 109.47
_cell_angle_beta 109.47
_cell_angle_gamma 109.47
_symmetry_space_group_name_H-M 'P 1'
_symmetry_Int_Tables_number 1
loop_
_symmetry_equiv_pos_as_xyz
'x,y,z'
loop_
_atom_site_label
_atom_site_type_symbol
_atom_site_fract_x
_atom_site_fract_y
_atom_site_fract_z
Ge1 Ge 0.750 0.375 0.125
Ge2 Ge 0.875 0.750 0.125
Ge3 Ge 0.375 0.750 0.625
Ge4 Ge 0.250 0.125 0.375
Ge5 Ge 0.875 0.125 0.250
Ge6 Ge 0.375 0.625 0.250
Ge7 Ge 0.625 0.375 0.750
Ge8 Ge 0.125 0.875 0.750
Ge9 Ge 0.750 0.875 0.625
Ge10 Ge 0.625 0.250 0.375
Ge11 Ge 0.125 0.250 0.875
Ge12 Ge 0.250 0.625 0.875
N1 N 0.125 0.375 0.250
N2 N 0.000 0.500 0.000
N3 N 0.000 0.000 0.000
N4 N 0.375 0.250 0.125
N5 N 0.500 0.000 0.500
N6 N 0.500 0.500 0.000
N7 N 0.125 0.750 0.375
N8 N 0.750 0.125 0.875
N9 N 0.750 0.625 0.375
N10 N 0.375 0.125 0.750
N11 N 0.625 0.875 0.250
N12 N 0.500 0.500 0.500
N13 N 0.500 0.000 0.000
N14 N 0.000 0.000 0.500
N15 N 0.250 0.375 0.625
N16 N 0.250 0.875 0.125
N17 N 0.000 0.500 0.500
N18 N 0.875 0.250 0.625
N19 N 0.625 0.750 0.875
N20 N 0.875 0.625 0.750
Pr1 Pr 0.703 0.116 0.021
Pr2 Pr 0.318 0.521 0.405
Pr3 Pr 0.979 0.384 0.297
Pr4 Pr 0.521 0.203 0.116
Pr5 Pr 0.587 0.703 0.682
Pr6 Pr 0.979 0.595 0.182
Pr7 Pr 0.318 0.797 0.413
Pr8 Pr 0.095 0.913 0.116
Pr9 Pr 0.595 0.979 0.682
Pr10 Pr 0.703 0.587 0.182
Pr11 Pr 0.797 0.479 0.384
Pr12 Pr 0.818 0.905 0.021
Pr13 Pr 0.116 0.703 0.521
Pr14 Pr 0.384 0.405 0.087
Pr15 Pr 0.087 0.905 0.384
Pr16 Pr 0.413 0.116 0.595
Pr17 Pr 0.087 0.182 0.203
Pr18 Pr 0.479 0.682 0.095
Pr19 Pr 0.818 0.913 0.297
Pr20 Pr 0.116 0.413 0.095
Pr21 Pr 0.384 0.979 0.797
Pr22 Pr 0.595 0.616 0.413
Pr23 Pr 0.905 0.818 0.521
Pr24 Pr 0.797 0.318 0.913
Pr25 Pr 0.405 0.384 0.587
Pr26 Pr 0.095 0.182 0.479
Pr27 Pr 0.203 0.682 0.087
Pr28 Pr 0.182 0.087 0.703
Pr29 Pr 0.616 0.021 0.203
Pr30 Pr 0.884 0.587 0.905
Pr31 Pr 0.521 0.318 0.905
Pr32 Pr 0.587 0.884 0.405
Pr33 Pr 0.913 0.818 0.797
Pr34 Pr 0.913 0.095 0.616
Pr35 Pr 0.884 0.297 0.479
Pr36 Pr 0.182 0.095 0.979
Pr37 Pr 0.616 0.595 0.913
Pr38 Pr 0.405 0.021 0.318
Pr39 Pr 0.297 0.413 0.818
Pr40 Pr 0.203 0.521 0.616
Pr41 Pr 0.905 0.087 0.884
Pr42 Pr 0.682 0.203 0.587
Pr43 Pr 0.479 0.797 0.884
Pr44 Pr 0.021 0.405 0.818
Pr45 Pr 0.413 0.297 0.318
Pr46 Pr 0.021 0.616 0.703
Pr47 Pr 0.682 0.479 0.595
Pr48 Pr 0.297 0.884 0.979
```

## Properties
N(E_F)	44.9	states/eV per cell
magnetization	0.00	μB/f.u.
raw formation energy	-848	meV per atom



(2)
Material: Pr12Ge6N
Method: DFT, PBE
State: relaxed

Cell and atoms, written as CIF:
```
data_Pr12Ge6N
_cell_length_a 8.466
_cell_length_b 8.466
_cell_length_c 8.466
_cell_angle_alpha 98.59
_cell_angle_beta 98.59
_cell_angle_gamma 98.59
_symmetry_space_group_name_H-M 'P 1'
_symmetry_Int_Tables_number 1
loop_
_symmetry_equiv_pos_as_xyz
'x,y,z'
loop_
_atom_site_label
_atom_site_type_symbol
_atom_site_fract_x
_atom_site_fract_y
_atom_site_fract_z
Pr1 Pr 0.814 0.573 0.435
Pr2 Pr 0.435 0.814 0.573
Pr3 Pr 0.573 0.435 0.814
Pr4 Pr 0.186 0.427 0.565
Pr5 Pr 0.565 0.186 0.427
Pr6 Pr 0.427 0.565 0.186
Pr7 Pr 0.068 0.976 0.305
Pr8 Pr 0.024 0.695 0.932
Pr9 Pr 0.695 0.932 0.024
Pr10 Pr 0.932 0.024 0.695
Pr11 Pr 0.976 0.305 0.068
Pr12 Pr 0.305 0.068 0.976
Ge1 Ge 0.707 0.877 0.371
Ge2 Ge 0.629 0.293 0.123
Ge3 Ge 0.123 0.629 0.293
Ge4 Ge 0.293 0.123 0.629
Ge5 Ge 0.371 0.707 0.877
Ge6 Ge 0.877 0.371 0.707
N1 N 0.000 0.000 0.000
```

## Properties
N(E_F)	21.0	states/eV per cell
magnetization	0.00	μB/f.u.
raw formation energy	-579	meV per atom



(3)
Material: Pr2GeN
Method: DFT, PBE
State: relaxed

Cell and atoms, written as CIF:
```
data_Pr2GeN
_cell_length_a 3.753
_cell_length_b 3.753
_cell_length_c 7.731
_cell_angle_alpha 75.95
_cell_angle_beta 75.95
_cell_angle_gamma 60.00
_symmetry_space_group_name_H-M 'P 1'
_symmetry_Int_Tables_number 1
loop_
_symmetry_equiv_pos_as_xyz
'x,y,z'
loop_
_atom_site_label
_atom_site_type_symbol
_atom_site_fract_x
_atom_site_fract_y
_atom_site_fract_z
Pr1 Pr 0.731 0.731 0.806
Pr2 Pr 0.269 0.269 0.194
Ge1 Ge 0.500 0.500 0.500
N1 N 0.000 0.000 0.000
```

## Properties
N(E_F)	1.3	states/eV per cell
magnetization	0.00	μB/f.u.
raw formation energy	-919	meV per atom



Among the records above, which one has the highest raw formation energy? Pr12Ge6N



magnetization of number 3 (Pr2GeN)? 0.00 μB/f.u.